Here is an optimized crystal structure of TaCu2Ru from the Alexandria database. Energies are from PBEsol.

Computed properties:
- ΔE to the lowest computed polymorph: 51 meV per atom
- Energy relative to the elements: -0.04 eV per atom
- Magnetization: 0.0 μB per formula unit
- Raw total energy: -7.889 eV per atom
- D(E_F): 0.625 states/eV/atom

Unit cell a=3.774 b=3.774 c=4.616 alpha=114.13 beta=114.13 gamma=90.00
Atoms (fractional coordinates):
Ru 0.750 0.250 0.500
Cu 0.500 0.500 0.000
Cu 0.250 0.750 0.500
Ta 0.000 0.000 0.000


Here is an optimized crystal structure of TaCu2Ru from the Alexandria database. Energies are from PBEsol.

Computed properties:
- ΔE to the lowest computed polymorph: 170 meV per atom
- Energy relative to the elements: 0.08 eV per atom
- Magnetization: 0.0 μB per formula unit
- Raw total energy: -7.771 eV per atom
- D(E_F): 0.744 states/eV/atom

Unit cell a=2.697 b=4.066 c=5.016 alpha=90.00 beta=99.19 gamma=90.00
Atoms (fractional coordinates):
Ru 0.489 0.000 0.483
Cu 0.835 0.000 0.007
Cu 0.913 0.500 0.250
Ta 0.263 0.500 0.760


Here is an optimized crystal structure of TaCu2Ru from the Alexandria database. Energies are from PBEsol.

Computed properties:
- ΔE to the lowest computed polymorph: 68 meV per atom
- Energy relative to the elements: -0.02 eV per atom
- Magnetization: 0.0 μB per formula unit
- Raw total energy: -7.872 eV per atom
- D(E_F): 0.660 states/eV/atom

Unit cell a=3.663 b=3.663 c=3.992 alpha=90.00 beta=90.00 gamma=90.00
Atoms (fractional coordinates):
Cu 0.500 0.000 0.000
Cu 0.000 0.500 0.000
Ru 0.500 0.500 0.500
Ta 0.000 0.000 0.500


Question: Look up the raw total energy of the third one.
Answer: -7.872 eV per atom